(1)
DFT (PBEsol) results for a geometry-optimized TaFe4W structure.

The structure belongs to space group P-3m1 (No. 164); the cell edges are 4.6547, 4.6547 and 7.6916 Å and the angles 90.00°, 90.00° and 120.00°. The asymmetric unit holds Ta at (0.3333, 0.6667, 0.4294), Fe at (0.0000, 0.0000, 0.0000), Fe at (0.0000, 0.0000, 0.5000), Fe at (0.1707, 0.3413, 0.7523) and W at (0.3333, 0.6667, 0.0634).

Its uncorrected energy is -10.5254 eV/atom. The calculation puts the volume at 12.03 Å³/atom. The calculation puts the energy relative to the elements at -157 meV/atom.

***

(2)
DFT (PBEsol) results for a geometry-optimized TaFe4W structure.

The structure belongs to space group F-43m (No. 216); the cell edges are 6.627, 6.627 and 6.627 Å and the angles 90.00°, 90.00° and 90.00°. The asymmetric unit holds Ta at (0.000, 0.000, 0.000), Fe at (0.125, 0.125, 0.375) and W at (0.250, 0.250, 0.750).

Its uncorrected energy is -10.4988 eV/atom. The calculation puts the volume at 12.13 Å³/atom. The calculation puts the energy relative to the elements at -130 meV/atom.

***

(3)
DFT (PBEsol) results for a geometry-optimized TaFe2W structure.

The structure belongs to space group P4/mmm (No. 123); the cell edges are 4.241, 4.241 and 2.998 Å and the angles 90.00°, 90.00° and 90.00°. The asymmetric unit holds Ta at (0.000, 0.000, 0.000), Fe at (0.000, 0.500, 0.500) and W at (0.500, 0.500, 0.000).

Its uncorrected energy is -11.0490 eV/atom. The calculation puts the volume at 13.48 Å³/atom. The calculation puts the energy relative to the elements at 22 meV/atom.

***

(4)
DFT (PBEsol) results for a geometry-optimized YTa2Fe structure.

The structure belongs to space group Pm (No. 6); the cell edges are 3.075, 3.961 and 6.251 Å and the angles 90.00°, 100.30° and 90.00°. The asymmetric unit holds Y at (0.000, 0.000, 0.000), Ta at (0.371, 0.500, 0.667), Ta at (0.835, 0.000, 0.455) and Fe at (0.484, 0.500, 0.287).

Its uncorrected energy is -9.9288 eV/atom. The calculation puts the volume at 18.73 Å³/atom. The calculation puts the energy relative to the elements at 293 meV/atom.

***

Copy entry 1 word for word.
DFT (PBEsol) results for a geometry-optimized TaFe4W structure.

The structure belongs to space group P-3m1 (No. 164); the cell edges are 4.6547, 4.6547 and 7.6916 Å and the angles 90.00°, 90.00° and 120.00°. The asymmetric unit holds Ta at (0.3333, 0.6667, 0.4294), Fe at (0.0000, 0.0000, 0.0000), Fe at (0.0000, 0.0000, 0.5000), Fe at (0.1707, 0.3413, 0.7523) and W at (0.3333, 0.6667, 0.0634).

Its uncorrected energy is -10.5254 eV/atom. The calculation puts the volume at 12.03 Å³/atom. The calculation puts the energy relative to the elements at -157 meV/atom.

***

The highest energy relative to the elements belongs to which entry? YTa2Fe